Density functional theory data (PBE+U) for a geometry-optimized Mn7HgO12 structure.

* spin magnetization: 1.350 μB/atom
* crystal system: cubic
* E_tot: -139.67 eV per cell
* symmetry: Im-3
* N(E_F): 4.79 states/eV per cell
* V: 10.65 Å³ per atom

```
data_Mn7HgO12
_chemical_formula_sum 'Mn7 Hg1 O12'
_symmetry_space_group_name_H-M 'P 1'
_symmetry_Int_Tables_number 1
_cell_length_a 6.517
_cell_length_b 6.517
_cell_length_c 6.517
_cell_angle_alpha 109.47
_cell_angle_beta 109.47
_cell_angle_gamma 109.47
loop_
_symmetry_equiv_pos_as_xyz
'x,y,z'
loop_
_atom_site_label
_atom_site_fract_x
_atom_site_fract_y
_atom_site_fract_z
_atom_site_occupancy
Mn1 0.500 0.500 0.500 1
Mn2 0.000 0.500 0.000 1
Mn3 0.000 0.500 0.500 1
Mn4 0.000 0.000 0.500 1
Mn5 0.500 0.000 0.500 1
Mn6 0.500 0.500 0.000 1
Mn7 0.500 0.000 0.000 1
O1 0.819 0.507 0.688 1
O2 0.507 0.688 0.819 1
O3 0.312 0.181 0.493 1
O4 0.688 0.181 0.868 1
O5 0.132 0.312 0.819 1
O6 0.181 0.493 0.312 1
O7 0.181 0.868 0.688 1
O8 0.868 0.688 0.181 1
O9 0.688 0.819 0.507 1
O10 0.312 0.819 0.132 1
O11 0.819 0.132 0.312 1
O12 0.493 0.312 0.181 1
Hg1 0.000 0.000 0.000 1
```